! Ca2Fe, optimized geometry, DFT PBE; values from VASP
! E_form: 0.520 eV per atom
! SG: P6_3/mmc
! DFT total energy: -3.64 eV per atom
&SYSTEM
  ibrav = 0, nat = 6, ntyp = 2
/
ATOMIC_SPECIES
Ca 40.08 Ca.upf
Fe 55.84 Fe.upf
ATOMIC_POSITIONS crystal
Ca 0.000 0.000 0.000
Ca 0.000 0.000 0.500
Ca 0.333 0.667 0.250
Ca 0.667 0.333 0.750
Fe 0.667 0.333 0.250
Fe 0.333 0.667 0.750
CELL_PARAMETERS angstrom
2.609 -4.519 0.000
2.609 4.519 0.000
0.000 0.000 6.874

***

! CaFe5, optimized geometry, DFT PBE; values from VASP
! E_form: 0.277 eV per atom
! SG: F-43m
! DFT total energy: -7.11 eV per atom
&SYSTEM
  ibrav = 0, nat = 6, ntyp = 2
/
ATOMIC_SPECIES
Ca 40.08 Ca.upf
Fe 55.84 Fe.upf
ATOMIC_POSITIONS crystal
Ca 0.000 0.000 0.000
Fe 0.250 0.250 0.250
Fe 0.625 0.625 0.625
Fe 0.625 0.625 0.126
Fe 0.126 0.625 0.625
Fe 0.625 0.126 0.625
CELL_PARAMETERS angstrom
0.000 3.460 3.460
3.460 0.000 3.460
3.460 3.460 0.000

***

! Ca5Fe, optimized geometry, DFT PBE; values from VASP
! E_form: 0.364 eV per atom
! SG: P-62m
! DFT total energy: -2.71 eV per atom
&SYSTEM
  ibrav = 0, nat = 6, ntyp = 2
/
ATOMIC_SPECIES
Ca 40.08 Ca.upf
Fe 55.84 Fe.upf
ATOMIC_POSITIONS crystal
Ca 0.693 0.000 0.000
Ca 0.307 0.307 0.000
Ca 0.000 0.693 0.000
Ca 0.667 0.333 0.500
Ca 0.333 0.667 0.500
Fe 0.000 0.000 0.500
CELL_PARAMETERS angstrom
-5.039 1.867 -3.526
-0.545 -5.015 3.982
-1.651 3.542 4.235

***

! Ca3Fe, optimized geometry, DFT PBE; values from VASP
! E_form: 0.334 eV per atom
! SG: P4/mmm
! DFT total energy: -3.28 eV per atom
&SYSTEM
  ibrav = 0, nat = 4, ntyp = 2
/
ATOMIC_SPECIES
Ca 40.08 Ca.upf
Fe 55.84 Fe.upf
ATOMIC_POSITIONS crystal
Ca 0.000 0.000 0.066
Ca 0.500 0.500 0.750
Ca 0.000 0.000 0.434
Fe 0.500 0.500 0.250
CELL_PARAMETERS angstrom
-0.345 0.070 3.647
-1.487 -3.348 -0.077
8.494 -3.792 0.877

***

! CaFe3, optimized geometry, DFT PBE; values from VASP
! E_form: 0.689 eV per atom
! SG: P-6m2
! DFT total energy: -6.16 eV per atom
&SYSTEM
  ibrav = 0, nat = 4, ntyp = 2
/
ATOMIC_SPECIES
Ca 40.08 Ca.upf
Fe 55.84 Fe.upf
ATOMIC_POSITIONS crystal
Ca 0.000 0.000 0.000
Fe 0.000 0.000 0.500
Fe 0.667 0.333 0.297
Fe 0.667 0.333 0.703
CELL_PARAMETERS angstrom
-0.308 -0.515 2.993
-2.378 -0.405 -1.871
2.193 -7.750 -1.108

***

! CaFe3, optimized geometry, DFT PBE; values from VASP
! E_form: 2.748 eV per atom
! SG: Pm-3m
! DFT total energy: -4.10 eV per atom
&SYSTEM
  ibrav = 0, nat = 4, ntyp = 2
/
ATOMIC_SPECIES
Ca 40.08 Ca.upf
Fe 55.84 Fe.upf
ATOMIC_POSITIONS crystal
Ca 0.000 0.000 0.000
Fe 0.500 0.000 0.000
Fe 0.000 0.500 0.000
Fe 0.000 0.000 0.500
CELL_PARAMETERS angstrom
-4.010 2.951 2.046
-3.515 -2.599 -3.141
-0.734 -3.676 3.863

***

! CaFe, optimized geometry, DFT PBE; values from VASP
! E_form: 0.408 eV per atom
! SG: P4/m
! DFT total energy: -4.82 eV per atom
&SYSTEM
  ibrav = 0, nat = 16, ntyp = 2
/
ATOMIC_SPECIES
Ca 40.08 Ca.upf
Fe 55.84 Fe.upf
ATOMIC_POSITIONS crystal
Ca 0.712 0.664 0.500
Ca 0.288 0.336 0.500
Ca 0.336 0.712 0.500
Ca 0.664 0.288 0.500
Ca 0.978 0.231 0.000
Ca 0.022 0.769 0.000
Ca 0.769 0.978 0.000
Ca 0.231 0.022 0.000
Fe 0.940 0.412 0.500
Fe 0.060 0.588 0.500
Fe 0.588 0.940 0.500
Fe 0.412 0.060 0.500
Fe 0.887 0.511 0.000
Fe 0.113 0.489 0.000
Fe 0.489 0.887 0.000
Fe 0.511 0.113 0.000
CELL_PARAMETERS angstrom
10.300 0.000 0.000
0.000 10.300 0.000
0.000 0.000 4.007

***

! Ca2Fe, optimized geometry, DFT PBE; values from VASP
! E_form: 0.583 eV per atom
! SG: P-3m1
! DFT total energy: -3.57 eV per atom
&SYSTEM
  ibrav = 0, nat = 3, ntyp = 2
/
ATOMIC_SPECIES
Ca 40.08 Ca.upf
Fe 55.84 Fe.upf
ATOMIC_POSITIONS crystal
Ca 0.667 0.333 0.726
Ca 0.333 0.667 0.274
Fe 0.000 0.000 0.000
CELL_PARAMETERS angstrom
3.666 0.000 0.000
-1.833 3.175 0.000
0.000 0.000 7.589